1.
The following is a PBE calculation of a geometry-optimized CoNiP structure, from Alexandria.

a b c (Å): 3.655 3.655 2.915
angles (deg): 90.00 90.00 120.00
Last column: magnetic moment on the atom in μB.
Atoms (fractional coordinates):
1 Ni 0.667 0.333 0.402  -0.01
2 P 0.333 0.667 0.705  0.00
3 Co 0.000 0.000 0.892  0.20

As for the formation energy: -0.325 eV per atom. For the final energy, the calculation gives -6.424 eV/atom. For the total magnetization, the calculation gives 0.06 μB/atom. As for the density of states at the Fermi level: 0.66 states/eV per atom.

***

2.
The following is a PBE calculation of a geometry-optimized CoNi2P structure, from Alexandria.

a b c (Å): 4.833 4.833 2.610
angles (deg): 74.08 74.08 120.72
Atoms (fractional coordinates):
1 Ni 0.500 0.500 0.000
2 Ni 0.000 0.000 0.000
3 Co 0.000 0.500 0.500
4 P 0.500 0.000 0.500

As for the formation energy: -0.056 eV per atom. For the final energy, the calculation gives -6.075 eV/atom. For the total magnetization, the calculation gives 0.00 μB/atom. As for the density of states at the Fermi level: 0.91 states/eV per atom.

***

3.
The following is a PBE calculation of a geometry-optimized CoNiP structure, from Alexandria.

a b c (Å): 3.737 3.737 3.737
angles (deg): 60.00 60.00 60.00
Atoms (fractional coordinates):
1 Co 0.750 0.750 0.750
2 Ni 0.000 0.000 0.000
3 P 0.500 0.500 0.500

As for the formation energy: -0.158 eV per atom. For the final energy, the calculation gives -6.257 eV/atom. For the total magnetization, the calculation gives 0.00 μB/atom. As for the density of states at the Fermi level: 0.83 states/eV per atom.

***

4.
The following is a PBE calculation of a geometry-optimized CoNiP structure, from Alexandria.

a b c (Å): 4.100 4.100 4.100
angles (deg): 140.23 130.55 65.25
Last column: magnetic moment on the atom in μB.
Atoms (fractional coordinates):
1 Ni 0.339 0.339 0.000  0.15
2 P 0.666 0.666 0.000  0.00
3 Co 0.995 0.995 0.000  0.81

As for the formation energy: -0.120 eV per atom. For the final energy, the calculation gives -6.219 eV/atom. For the total magnetization, the calculation gives 0.31 μB/atom. As for the density of states at the Fermi level: 1.48 states/eV per atom.